A relaxed structure of SrPa2Ni2S6, computed with PBE.

E_form (uncorrected) = -1.200 eV per atom

```
data_SrPa2Ni2S6
_space_group_name_H-M_alt 'P 1'
_space_group_IT_number 1
_cell_length_a 7.279
_cell_length_b 7.279
_cell_length_c 5.323
_cell_angle_alpha 90.00
_cell_angle_beta 90.00
_cell_angle_gamma 120.00
loop_
_space_group_symop_operation_xyz
'x,y,z'
loop_
_atom_site_label
_atom_site_fract_x
_atom_site_fract_y
_atom_site_fract_z
Sr1 0.000 0.000 0.000
Pa1 0.333 0.667 0.361
Pa2 0.667 0.333 0.639
Ni1 0.333 0.667 0.924
Ni2 0.667 0.333 0.076
S1 0.321 0.383 0.727
S2 0.062 0.679 0.727
S3 0.617 0.938 0.727
S4 0.679 0.617 0.273
S5 0.938 0.321 0.273
S6 0.383 0.062 0.273
```


A relaxed structure of SrPaNiS4, computed with PBE.

E_form (uncorrected) = -1.451 eV per atom
D(E_F) = 2.778 states/eV/cell

```
data_SrPaNiS4
_space_group_name_H-M_alt 'P 1'
_space_group_IT_number 1
_cell_length_a 6.451
_cell_length_b 5.780
_cell_length_c 8.215
_cell_angle_alpha 90.00
_cell_angle_beta 106.67
_cell_angle_gamma 90.00
loop_
_space_group_symop_operation_xyz
'x,y,z'
loop_
_atom_site_label
_atom_site_fract_x
_atom_site_fract_y
_atom_site_fract_z
Sr1 0.738 0.750 0.940
Sr2 0.262 0.250 0.060
Pa1 0.742 0.750 0.440
Pa2 0.258 0.250 0.560
Ni1 0.234 0.750 0.335
Ni2 0.766 0.250 0.665
S1 0.018 0.513 0.726
S2 0.982 0.013 0.274
S3 0.982 0.487 0.274
S4 0.018 0.987 0.726
S5 0.431 0.750 0.145
S6 0.569 0.250 0.855
S7 0.430 0.750 0.598
S8 0.570 0.250 0.402
```


A relaxed structure of PaTaNiS6, computed with PBE.

E_form (uncorrected) = -0.841 eV per atom
D(E_F) = 0.209 states/eV/cell

```
data_PaTaNiS6
_space_group_name_H-M_alt 'P 1'
_space_group_IT_number 1
_cell_length_a 5.930
_cell_length_b 6.126
_cell_length_c 6.126
_cell_angle_alpha 120.00
_cell_angle_beta 90.00
_cell_angle_gamma 90.00
loop_
_space_group_symop_operation_xyz
'x,y,z'
loop_
_atom_site_label
_atom_site_fract_x
_atom_site_fract_y
_atom_site_fract_z
Pa1 0.000 0.333 0.667
Ta1 0.500 0.667 0.333
Ni1 0.500 0.000 0.000
S1 0.732 0.686 0.673
S2 0.732 0.327 0.013
S3 0.732 0.987 0.314
S4 0.268 0.327 0.314
S5 0.268 0.686 0.013
S6 0.268 0.987 0.673
```


Q: What is the E_form (uncorrected) in the first record?
A: -1.200 eV per atom